1.
Density functional theory data (PBE) for a geometry-optimized Ti4HO structure.

Summary:
- Space group: P2_1/c
- Energy: -7.691 eV/atom

Cell: 5.7691 4.8365 5.8926 Å, 90.00 115.89 90.00°
Last column: nearest neighbours and their distance in Å.
Fractional positions:
Ti  0.1425  0.2141  0.3383  2 O 2.04-2.07, 1 H 2.13
Ti  0.1425  0.2859  0.8383  2 O 2.04-2.07, 1 H 2.13
Ti  0.3414  0.7328  0.6361  1 H 1.95, 1 O 2.10
Ti  0.3414  0.7672  0.1361  1 H 1.95, 1 O 2.10
Ti  0.6586  0.2328  0.8639  1 H 1.95, 1 O 2.10
Ti  0.6586  0.2672  0.3639  1 H 1.95, 1 O 2.10
Ti  0.8575  0.7141  0.1617  2 O 2.04-2.07, 1 H 2.13
Ti  0.8575  0.7859  0.6617  2 O 2.04-2.07, 1 H 2.13
H  0.5000  0.0000  0.5000  4 Ti 1.95-2.13
H  0.5000  0.5000  0.0000  4 Ti 1.95-2.13
O  0.0000  0.0000  0.0000  6 Ti 2.04-2.10
O  0.0000  0.5000  0.5000  6 Ti 2.04-2.10

***

2.
Density functional theory data (PBE) for a geometry-optimized Tm3Ga6Au5 structure.

Summary:
- Space group: Pmmn
- Formation enthalpy at 0 K: -0.59 eV per atom
- Energy: -4.016 eV/atom

Cell: 4.3233 12.7685 9.7598 Å, 90.00 90.00 90.00°
Last column: nearest neighbours and their distance in Å.
Fractional positions:
Tm  0.2500  0.0496  0.2473  7 Ga 3.04-3.33, 7 Au 3.15-3.40
Tm  0.2500  0.4504  0.2473  7 Ga 3.04-3.33, 7 Au 3.15-3.40
Tm  0.2500  0.7500  0.2464  6 Au 3.14-3.17, 6 Ga 3.30-3.36
Tm  0.7500  0.2500  0.7536  6 Au 3.14-3.17, 6 Ga 3.30-3.36
Tm  0.7500  0.5496  0.7527  7 Ga 3.04-3.33, 7 Au 3.15-3.40
Tm  0.7500  0.9504  0.7527  7 Ga 3.04-3.33, 7 Au 3.15-3.40
Ga  0.2500  0.0831  0.8862  4 Au 2.55-2.67, 1 Ga 2.72
Ga  0.2500  0.2500  0.0601  2 Ga 2.72, 6 Au 2.79-2.98
Ga  0.2500  0.2500  0.4380  4 Au 2.64-2.72, 4 Ga 2.92
Ga  0.2500  0.4169  0.8862  4 Au 2.55-2.67, 1 Ga 2.72
Ga  0.2500  0.5982  0.5282  4 Au 2.63-2.77, 2 Ga 2.92
Ga  0.2500  0.9018  0.5282  4 Au 2.63-2.77, 2 Ga 2.92
Ga  0.7500  0.0982  0.4718  4 Au 2.63-2.77, 2 Ga 2.92
Ga  0.7500  0.4018  0.4718  4 Au 2.63-2.77, 2 Ga 2.92
Ga  0.7500  0.5831  0.1138  4 Au 2.55-2.67, 1 Ga 2.72
Ga  0.7500  0.7500  0.5620  4 Au 2.64-2.72, 4 Ga 2.92
Ga  0.7500  0.7500  0.9399  2 Ga 2.72, 6 Au 2.79-2.98
Ga  0.7500  0.9169  0.1138  4 Au 2.55-2.67, 1 Ga 2.72
Au  0.2500  0.1013  0.6255  5 Ga 2.55-2.72
Au  0.2500  0.3987  0.6255  5 Ga 2.55-2.72
Au  0.2500  0.6149  0.9738  5 Ga 2.59-2.79
Au  0.2500  0.7500  0.7305  6 Ga 2.72-2.98, 2 Au 2.93
Au  0.2500  0.8851  0.9738  5 Ga 2.59-2.79
Au  0.7500  0.1149  0.0262  5 Ga 2.59-2.79
Au  0.7500  0.2500  0.2695  6 Ga 2.72-2.98, 2 Au 2.93
Au  0.7500  0.3851  0.0262  5 Ga 2.59-2.79
Au  0.7500  0.6013  0.3745  5 Ga 2.55-2.72
Au  0.7500  0.8987  0.3745  5 Ga 2.55-2.72

***

3.
Density functional theory data (PBE) for a geometry-optimized BaAcBrO2 structure.

Summary:
- E_form (uncorrected): -2833 meV per atom
- Space group: I4mm
- Energy: -6.357 eV/atom

Cell: 7.7029 7.7029 7.7029 Å, 147.42 147.42 46.74°
Last column: nearest neighbours and their distance in Å.
Fractional positions:
Ba  0.0000  0.0000  0.0000  4 O 2.59
Ac  0.3239  0.3239  0.0000  4 O 2.41
Br  0.6607  0.6607  0.0000  4 Ba 3.81, 4 Ac 3.83, 4 O 4.00
O  0.3986  0.8986  0.5000  2 Ac 2.41, 2 Ba 2.59
O  0.8986  0.3986  0.5000  2 Ac 2.41, 2 Ba 2.59

***

4.
Density functional theory data (PBE) for a geometry-optimized RbCu2Ag2 structure.

Summary:
- Space group: P4/mbm
- Formation enthalpy at 0 K: 0.29 eV per atom
- Energy: -2.682 eV/atom

Cell: 8.2944 8.2944 2.9043 Å, 90.00 90.00 90.00°
Last column: nearest neighbours and their distance in Å.
Fractional positions:
Rb  0.0000  0.0000  0.0000  2 Rb 2.90
Rb  0.5000  0.5000  0.0000  2 Rb 2.90
Cu  0.1090  0.3910  0.0000  1 Cu 2.56, 4 Ag 2.83
Cu  0.3910  0.8910  0.0000  1 Cu 2.56, 4 Ag 2.83
Cu  0.6090  0.1090  0.0000  1 Cu 2.56, 4 Ag 2.83
Cu  0.8910  0.6090  0.0000  1 Cu 2.56, 4 Ag 2.83
Ag  0.1756  0.6756  0.5000  6 Cu 2.83-2.91, 2 Ag 2.90
Ag  0.3244  0.1756  0.5000  6 Cu 2.83-2.91, 2 Ag 2.90
Ag  0.6756  0.8244  0.5000  6 Cu 2.83-2.91, 2 Ag 2.90
Ag  0.8244  0.3244  0.5000  6 Cu 2.83-2.91, 2 Ag 2.90

***

5.
Density functional theory data (PBE) for a geometry-optimized LiMnMo2 structure.

Summary:
- Space group: R-3m
- Formation enthalpy at 0 K: 0.37 eV per atom
- Energy: -7.818 eV/atom

Cell: 9.4168 9.4168 9.4168 Å, 16.48 16.48 16.48°
Last column: nearest neighbours and their distance in Å.
Fractional positions:
Li  0.0000  0.0000  0.0000  6 Li 2.70, 6 Mo 2.98
Mn  0.5000  0.5000  0.5000  6 Mo 2.62, 6 Mn 2.70
Mo  0.2424  0.2424  0.2424  3 Mn 2.62, 6 Mo 2.70
Mo  0.7576  0.7576  0.7576  3 Mn 2.62, 6 Mo 2.70

***

6.
Density functional theory data (PBE) for a geometry-optimized PmScSnPt structure.

Summary:
- Space group: F-43m
- Formation enthalpy at 0 K: -0.77 eV per atom
- Energy: -6.048 eV/atom

Cell: 5.0853 5.0853 5.0853 Å, 60.00 60.00 60.00°
Last column: nearest neighbours and their distance in Å.
Fractional positions:
Pm  0.0000  0.0000  0.0000  4 Sn 3.11, 4 Pt 3.11
Sc  0.5000  0.5000  0.5000  4 Sn 3.11, 4 Pt 3.11
Sn  0.7500  0.7500  0.7500  4 Pm 3.11, 4 Sc 3.11
Pt  0.2500  0.2500  0.2500  4 Sc 3.11, 4 Pm 3.11

***

7.
Density functional theory data (PBE) for a geometry-optimized NbCu2Pd4 structure.

Summary:
- Space group: P1
- Formation enthalpy at 0 K: -0.21 eV per atom
- Energy: -5.786 eV/atom

Cell: 5.5289 6.1876 6.7318 Å, 111.21 91.39 103.00°
Last column: nearest neighbours and their distance in Å.
Fractional positions:
Nb  0.0000  0.0000  0.0000  9 Pd 2.68-2.81, 3 Cu 2.77-2.80
Nb  0.4167  0.7022  0.5812  8 Pd 2.68-2.81, 4 Cu 2.78-2.88
Cu  0.2859  0.1396  0.7148  7 Pd 2.67-2.82, 3 Cu 2.71-2.82, 2 Nb 2.77-2.79
Cu  0.5773  0.2823  0.4370  3 Cu 2.60-2.75, 8 Pd 2.69-2.80, 1 Nb 2.78
Cu  0.7125  0.8595  0.2895  8 Pd 2.66-2.89, 2 Cu 2.69-2.73, 2 Nb 2.80-2.88
Cu  0.7770  0.1438  0.7084  4 Cu 2.60-2.82, 6 Pd 2.69-2.78, 2 Nb 2.79-2.82
Pd  0.0695  0.2767  0.4377  5 Cu 2.67-2.80, 2 Nb 2.71-2.79, 5 Pd 2.73-2.93
Pd  0.1421  0.5751  0.8622  2 Nb 2.68-2.75, 8 Pd 2.74-2.82, 2 Cu 2.78-2.82
Pd  0.2264  0.8634  0.2980  4 Cu 2.67-2.83, 6 Pd 2.73-2.85, 2 Nb 2.74-2.81
Pd  0.3682  0.4272  0.1537  3 Cu 2.72-2.81, 2 Nb 2.73-2.78, 7 Pd 2.75-2.83
Pd  0.5041  0.0002  0.9983  5 Pd 2.69-2.82, 3 Nb 2.70-2.79, 4 Cu 2.72-2.80
Pd  0.6409  0.5671  0.8592  2 Nb 2.69-2.77, 4 Cu 2.71-2.77, 6 Pd 2.76-2.79
Pd  0.8628  0.4142  0.1417  1 Nb 2.68, 8 Pd 2.69-2.85, 3 Cu 2.75-2.89
Pd  0.9144  0.7262  0.5751  4 Cu 2.66-2.77, 3 Nb 2.71-2.81, 5 Pd 2.78-2.93

***

8.
Density functional theory data (PBE) for a geometry-optimized YBe3Os structure.

Summary:
- Space group: Pm-3m
- Formation enthalpy at 0 K: 2.64 eV per atom
- Energy: -3.134 eV/atom

Cell: 4.3685 4.3685 4.3685 Å, 90.00 90.00 90.00°
Last column: nearest neighbours and their distance in Å.
Fractional positions:
Y  0.0000  0.0000  0.0000  6 Be 2.18
Be  0.0000  0.0000  0.5000  2 Y 2.18
Be  0.0000  0.5000  0.0000  2 Y 2.18
Be  0.5000  0.0000  0.0000  2 Y 2.18
Os  0.5000  0.5000  0.5000  12 Be 3.09

***

9.
Density functional theory data (PBE) for a geometry-optimized Ce2PmDySb5 structure.

Summary:
- E_form (uncorrected): -302 meV per atom
- Space group: P4/mmm
- Energy: -4.950 eV/atom

Cell: 5.2998 5.2998 11.7028 Å, 90.00 90.00 90.00°
Last column: nearest neighbours and their distance in Å.
Fractional positions:
Ce  0.0000  0.0000  0.2140  5 Sb 3.35-3.65
Ce  0.0000  0.0000  0.7860  5 Sb 3.35-3.65
Pm  0.5000  0.5000  0.5000  2 Sb 2.93
Dy  0.5000  0.5000  0.0000  6 Sb 2.65-2.92
Sb  0.0000  0.0000  0.5000  2 Ce 3.35, 4 Pm 3.75
Sb  0.0000  0.5000  0.0000  2 Dy 2.65
Sb  0.5000  0.0000  0.0000  2 Dy 2.65
Sb  0.5000  0.5000  0.2498  1 Dy 2.92, 1 Pm 2.93
Sb  0.5000  0.5000  0.7502  1 Dy 2.92, 1 Pm 2.93